This record from the Alexandria database describes crystalline ScCd3Hg6 at its relaxed geometry. The functional is GGA-PBE.

The structure belongs to space group R-3 (No. 148, hexagonal axes); the cell edges are 12.9212, 12.9212 and 10.2493 Å and the angles 90.00°, 90.00° and 120.00°. The asymmetric unit holds Sc at (0.0000, 0.0000, 0.0000), Sc at (0.0000, 0.0000, 0.5000), Cd at (0.9995, 0.1477, 0.2499), Hg at (0.0405, 0.2464, 0.9420) and Hg at (0.0408, 0.7946, 0.4408).

Its formation enthalpy at 0 K is -0.08 eV per atom. The value obtained for the final energy is -11.70 eV per formula unit.


This record from the Alexandria database describes crystalline Sm8Tl2In at its relaxed geometry. The functional is GGA-PBE.

The structure belongs to space group C2/m (No. 12); the cell edges are 16.746, 5.438 and 8.785 Å and the angles 90.00°, 120.88° and 90.00°. The asymmetric unit holds Sm at (0.066, 0.000, 0.219), Sm at (0.092, 0.500, 0.946), Sm at (0.137, 0.000, 0.683), Sm at (0.180, 0.500, 0.447), Tl at (0.223, 0.000, 0.120) and In at (0.000, 0.500, 0.500).

The value obtained for the energy above the most stable polymorph in this dataset is 0.0 meV per atom. Its formation enthalpy at 0 K is -0.22 eV per atom. The value obtained for the final energy is -47.59 eV per formula unit.


This record from the Alexandria database describes crystalline Na2NdDyO4 at its relaxed geometry. The functional is GGA-PBE.

The structure belongs to space group P2/m (No. 10); the cell edges are 5.971, 3.510 and 6.084 Å and the angles 90.00°, 109.88° and 90.00°. The asymmetric unit holds Na at (0.000, 0.000, 0.000), Na at (0.000, 0.500, 0.500), Nd at (0.500, 0.000, 0.500), Dy at (0.500, 0.500, 0.000), O at (0.285, 0.500, 0.252) and O at (0.288, 0.000, 0.771).

The formation energy (no corrections) is -2.69 eV per atom. The value obtained for the final energy is -53.40 eV per formula unit.


This record from the Alexandria database describes crystalline BeIr at its relaxed geometry. The functional is GGA-PBE.

The structure belongs to space group I-43m (No. 217); the cell edges are 6.900, 6.900 and 6.900 Å and the angles 90.00°, 90.00° and 90.00°. The asymmetric unit holds Be at (0.179, 0.179, 0.179) and Ir at (0.139, 0.139, 0.861).

Its formation enthalpy at 0 K is 0.93 eV per atom. The value obtained for the final energy is -10.72 eV per formula unit.


This record from the Alexandria database describes crystalline Tb2DyEr5Sc at its relaxed geometry. The functional is GGA-PBE.

The structure belongs to space group Cmc2_1 (No. 36); the cell edges are 5.498, 19.711 and 10.298 Å and the angles 90.00°, 90.00° and 90.00°. The asymmetric unit holds Tb at (0.000, 0.112, 0.000), Tb at (0.000, 0.114, 0.422), Dy at (0.000, 0.410, 0.142), Er at (0.000, 0.018, 0.704), Er at (0.000, 0.276, 0.006), Er at (0.000, 0.300, 0.391), Er at (0.000, 0.378, 0.707), Er at (0.000, 0.481, 0.425) and Sc at (0.000, 0.196, 0.700).

Its formation enthalpy at 0 K is 0.17 eV per atom. The value obtained for the final energy is -41.52 eV per formula unit.


This record from the Alexandria database describes crystalline Nd7Tl2Ru2 at its relaxed geometry. The functional is GGA-PBE.

The structure belongs to space group Cmmm (No. 65); the cell edges are 8.294, 11.392 and 7.314 Å and the angles 90.00°, 90.00° and 90.00°. The asymmetric unit holds Nd at (0.000, 0.000, 0.000), Nd at (0.000, 0.500, 0.240), Nd at (0.250, 0.250, 0.249), Tl at (0.178, 0.000, 0.500) and Ru at (0.000, 0.294, 0.000).

Its formation enthalpy at 0 K is -0.18 eV per atom. The value obtained for the final energy is -58.63 eV per formula unit.


Question: final energy of number 1 (ScCd3Hg6)?
Answer: -11.70 eV per formula unit